DFT (GGA+U) results for crystalline Os3WO at its relaxed geometry.

Lattice parameters (Å, degrees): 4.807 4.807 4.807 90.00 90.00 90.00
Element x y z (fractional)
1 Os 0.000 0.000 0.500
2 Os 0.000 0.500 0.000
3 Os 0.500 0.000 0.000
4 W 0.000 0.000 0.000
5 O 0.500 0.500 0.500

* distance to the lowest polymorph of the same formula: 2178.5 meV per atom
* total magnetization: 5.64 μB per formula unit
* V: 22.22 Å³/atom
* VASP energy: -6.0601 eV per atom
* DOS at the Fermi energy: 4.5 states/eV/cell